# TmCuSb | the Alexandria database | PBE-GGA | relaxed
data_TmCuSb
_cell_length_a 5.8071
_cell_length_b 7.2770
_cell_length_c 7.1094
_cell_angle_alpha 90.00
_cell_angle_beta 117.77
_cell_angle_gamma 90.00
_space_group_name_H-M_alt 'P 1 21/c 1'
_space_group_IT_number 14
loop_
_space_group_symop_operation_xyz
'x,y,z'
'-x,-y,-z'
'-x,y+1/2,-z+1/2'
'x,-y+1/2,z+1/2'
loop_
_atom_site_label
_atom_site_type_symbol
_atom_site_fract_x
_atom_site_fract_y
_atom_site_fract_z
Tm1 Tm 0.2070 0.2190 0.3634
Cu1 Cu 0.2039 0.5792 0.5376
Sb1 Sb 0.3331 0.5869 0.2048
# raw formation energy: -0.60 eV/atom
# DOS at the Fermi energy: 0.116 states/eV per atom

# TaCoP2 | the Alexandria database | PBE-GGA | relaxed
data_TaCoP2
_cell_length_a 2.8571
_cell_length_b 4.2317
_cell_length_c 4.8264
_cell_angle_alpha 90.00
_cell_angle_beta 107.15
_cell_angle_gamma 90.00
_space_group_name_H-M_alt 'P 1 m 1'
_space_group_IT_number 6
loop_
_space_group_symop_operation_xyz
'x,y,z'
'x,-y,z'
loop_
_atom_site_label
_atom_site_type_symbol
_atom_site_fract_x
_atom_site_fract_y
_atom_site_fract_z
Ta1 Ta 0.0000 0.0000 0.0000
Co1 Co 0.6523 0.5000 0.3029
P1 P 0.4126 0.5000 0.8143
P2 P 0.7261 0.0000 0.4519
# offset from the most stable computed form: 0.88 eV per formula unit
# E_form: -0.289 eV per atom
# DOS at the Fermi energy: 0.487 states/eV per atom

# K2Tm2RuO6 | the Alexandria database | PBE-GGA | relaxed
data_K2Tm2RuO6
_cell_length_a 5.7122
_cell_length_b 9.8070
_cell_length_c 6.5676
_cell_angle_alpha 90.00
_cell_angle_beta 105.49
_cell_angle_gamma 90.00
_space_group_name_H-M_alt 'C 1 2/m 1'
_space_group_IT_number 12
loop_
_space_group_symop_operation_xyz
'x,y,z'
'-x,-y,-z'
'-x,y,-z'
'x,-y,z'
'x+1/2,y+1/2,z'
'-x+1/2,-y+1/2,-z'
'-x+1/2,y+1/2,-z'
'x+1/2,-y+1/2,z'
loop_
_atom_site_label
_atom_site_type_symbol
_atom_site_fract_x
_atom_site_fract_y
_atom_site_fract_z
K1 K 0.0000 0.1619 0.0000
Tm1 Tm 0.0000 0.3354 0.5000
Ru1 Ru 0.0000 0.0000 0.5000
O1 O 0.2071 0.1576 0.6716
O2 O 0.2451 0.5000 0.6744
# raw formation energy: -2.28 eV/atom
# DOS at the Fermi energy: 0.577 states/eV per atom

# Sm2Mn2Zn15 | the Alexandria database | PBE-GGA | relaxed
data_Sm2Mn2Zn15
_cell_length_a 9.0028
_cell_length_b 9.0028
_cell_length_c 13.2590
_cell_angle_alpha 90.00
_cell_angle_beta 90.00
_cell_angle_gamma 120.00
_space_group_name_H-M_alt 'R -3 m'
_space_group_IT_number 166
_space_group_name_Hall '-R 3 2"'
loop_
_atom_site_label
_atom_site_type_symbol
_atom_site_fract_x
_atom_site_fract_y
_atom_site_fract_z
Sm1 Sm 0.0000 0.0000 0.1629
Mn1 Mn 0.0000 0.0000 0.4007
Zn1 Zn 0.0000 0.2854 0.5000
Zn2 Zn 0.0000 0.5000 0.0000
Zn3 Zn 0.0036 0.5018 0.6495
# E_form: -0.178 eV per atom
# DOS at the Fermi energy: 0.552 states/eV per atom

# RbBa2SmO4 | the Alexandria database | PBE-GGA | relaxed
data_RbBa2SmO4
_cell_length_a 7.6186
_cell_length_b 7.6481
_cell_length_c 11.0942
_cell_angle_alpha 90.00
_cell_angle_beta 90.00
_cell_angle_gamma 90.00
_space_group_name_H-M_alt 'I m m a'
_space_group_IT_number 74
_space_group_name_Hall '-I 2b 2'
loop_
_atom_site_label
_atom_site_type_symbol
_atom_site_fract_x
_atom_site_fract_y
_atom_site_fract_z
Rb1 Rb 0.0000 0.0000 0.0000
Ba1 Ba 0.0000 0.0000 0.5000
Ba2 Ba 0.2500 0.2500 0.2500
Sm1 Sm 0.2500 0.2500 0.7500
O1 O 0.0000 0.0210 0.7449
O2 O 0.2342 0.2500 0.5398
# raw formation energy: -2.37 eV/atom

# CdP2Ru | the Alexandria database | PBE-GGA | relaxed
data_CdP2Ru
_cell_length_a 3.0619
_cell_length_b 3.0619
_cell_length_c 23.8999
_cell_angle_alpha 90.00
_cell_angle_beta 90.00
_cell_angle_gamma 120.00
_space_group_name_H-M_alt 'R 3 m'
_space_group_IT_number 160
_space_group_name_Hall 'R 3 -2"'
loop_
_atom_site_label
_atom_site_type_symbol
_atom_site_fract_x
_atom_site_fract_y
_atom_site_fract_z
Cd1 Cd 0.0000 0.0000 0.0000
P1 P 0.0000 0.0000 0.5073
P2 P 0.0000 0.0000 0.7680
Ru1 Ru 0.0000 0.0000 0.2368
# E_form: 0.125 eV per atom
# DOS at the Fermi energy: 0.584 states/eV per atom